Crystalline LiSm2WO6 at its relaxed geometry, computed with PBE+U.

Lattice parameters (Å, degrees): 5.7081 5.6863 5.5948 59.63 61.41 59.07
Closest atoms and distances in Å follow each position.
Positions (direct):
Sm  0.6047  0.5322  0.2914  5 O 2.31-2.36
O  0.0016  0.4856  0.3678  1 W 2.05, 1 Li 2.14
O  0.6307  0.1467  0.7352  1 W 2.05, 1 Li 2.14
O  0.9975  0.4948  0.8729  1 W 2.04, 1 Li 2.04
Sm  0.0276  0.1001  0.8117  5 O 2.31-2.36
O  0.6348  0.1375  0.2301  1 W 2.04, 1 Li 2.04
Li  0.8162  0.8161  0.5515  4 O 2.04-2.14
O  0.4165  0.6658  0.8362  1 W 1.95
W  0.3162  0.3162  0.0515  6 O 1.95-2.05
O  0.2158  0.9666  0.2668  1 W 1.95

Calculated values
**Space group**: No. 2
**DOS(E_F)**: 0.00 states/eV/f.u.
**Final energy**: -75.99 eV/f.u.